First-principles (PBE-GGA) data for a geometry-optimized YSe2BrO structure, as listed in the Alexandria database. Values from VASP.

Structure (Quantum ESPRESSO input):
```
&SYSTEM
  ibrav = 0, nat = 5, ntyp = 4
/
ATOMIC_SPECIES
O 16.00 O.upf
Br 79.90 Br.upf
Y 88.91 Y.upf
Se 78.96 Se.upf
CELL_PARAMETERS angstrom
4.282 0.000 0.000
0.000 4.282 0.000
0.000 0.000 5.525
ATOMIC_POSITIONS crystal
O 0.000 0.000 0.000
Br 0.000 0.000 0.500
Y 0.500 0.500 0.500
Se 0.500 0.000 0.000
Se 0.000 0.500 0.000
```

Results
Raw formation energy in eV per formula unit: -2.9
Energy above the most stable polymorph in this dataset in eV per atom: 0.0000
Theoretical density in Mg/m³: 5.62
Density of states at the Fermi level in states/eV/f.u.: 2.1
Final energy in eV/atom: -4.59
Total magnetization in μB per formula unit: 0.000